[1]
Computed, not measured: crystalline MnTc2Hg at its relaxed geometry at the PBE-GGA level of DFT.

a b c (Å): 7.089 7.089 5.656
angles (deg): 51.19 51.19 90.00
Positions (direct):
1 Tc 0.875 0.810 0.750
2 Tc 0.190 0.625 0.250
3 Tc 0.375 0.440 0.750
4 Tc 0.560 0.125 0.250
5 Hg 0.000 0.000 0.000
6 Hg 0.750 0.250 0.500
7 Mn 0.500 0.500 0.000
8 Mn 0.250 0.750 0.500

Its density of states at the Fermi level is 10.101 states/eV/cell. The density is 11.39 g/cm3. Its space group is I-42d, No. 122.

[2]
Computed, not measured: crystalline MnTc2Hg at its relaxed geometry at the PBE-GGA level of DFT.

a b c (Å): 4.820 4.820 4.820
angles (deg): 131.27 131.27 71.38
Last column: magnetic moment on the atom in μB.
Positions (direct):
1 Tc 0.250 0.750 0.500  0.00
2 Tc 0.000 0.000 0.000  -0.29
3 Hg 0.500 0.500 0.000  -0.01
4 Mn 0.750 0.250 0.500  3.16

Its density of states at the Fermi level is 4.119 states/eV/cell. The density is 12.11 g/cm3. Its space group is I-4m2, No. 119.

no.,DFT total energy (eV/atom)
1,-6.834
2,-7.127